Tb2Pr3Sm8 PBE optimized geometry; DOS at the Fermi energy = 1.597 states/eV per atom; energy of formation from the pure elements = 0.226 eV per atom; calculated total energy = -58.42 eV per formula unit; symmetry = C2/m, No. 12
1.0
5.731 0.000 0.730
0.000 7.759 0.000
-1.300 -3.880 10.156
Pr Sm Tb
3 8 2
Cartesian
2.866 0.000 0.365
0.000 5.507 0.000
0.000 2.252 0.000
2.586 5.498 2.564
1.845 1.618 8.322
2.586 2.261 2.564
4.876 0.000 7.359
-0.943 3.880 7.393
1.845 -1.618 8.322
-0.445 3.880 3.526
5.374 0.000 3.493
2.202 3.880 5.609
2.229 0.000 5.276